Record 1
First-principles (PBE) data for an optimized crystal structure of LaMg3Pb3, as listed in Alexandria.

Results
The value obtained for the formation energy from the elements is 270 meV per atom. The value obtained for the offset from the most stable computed form is 373 meV/atom. The value obtained for the density of states at the Fermi level is 6.686 states/eV/f.u. The calculation puts the total moment at 0.0 μB per cell.

Lattice parameters (Å, degrees): 7.824 7.824 7.824 90.00 90.00 90.00
Space group Pm-3n (No. 223)
Unique sites:
La: 0.000 0.000 0.000 (multiplicity 2)
Mg: 0.000 0.250 0.500 (multiplicity 6)
Pb: 0.000 0.500 0.250 (multiplicity 6)



Record 2
First-principles (PBE) data for an optimized crystal structure of MgPb2Br, as listed in Alexandria.

Results
The value obtained for the offset from the most stable computed form is 237 meV/atom. The value obtained for the density of states at the Fermi level is 2.253 states/eV/f.u. The calculation puts the formation energy without anion corrections at -11 kJ/mol of atoms. The calculation puts the total moment at 0.0 μB per cell.

Lattice parameters (Å, degrees): 5.453 5.453 7.658 90.00 90.00 90.00
Space group I-4m2 (No. 119)
Unique sites:
Mg: 0.000 0.000 0.000 (multiplicity 2)
Pb: 0.000 0.000 0.500 (multiplicity 2)
Pb: 0.000 0.500 0.750 (multiplicity 2)
Br: 0.000 0.500 0.250 (multiplicity 2)



Record 3
First-principles (PBE) data for an optimized crystal structure of CsK8Na4, as listed in Alexandria.

Results
The value obtained for the formation energy from the elements is 16 meV per atom. The value obtained for the density of states at the Fermi level is 9.551 states/eV/f.u. The calculation puts the total moment at 0.0 μB per cell.

Lattice parameters (Å, degrees): 14.441 14.441 7.912 90.00 90.00 90.00
Space group I4/mmm (No. 139)
Unique sites:
Cs: 0.000 0.000 0.000 (multiplicity 2)
K: 0.000 0.216 0.500 (multiplicity 8)
K: 0.000 0.346 0.000 (multiplicity 8)
Na: 0.250 0.250 0.250 (multiplicity 8)



Record 4
First-principles (PBE) data for an optimized crystal structure of CaTb2ThS4, as listed in Alexandria.

Results
The value obtained for the density of states at the Fermi level is 3.912 states/eV/f.u. The calculation puts the formation energy without anion corrections at -189 kJ/mol of atoms. The calculation puts the total moment at 0.0 μB per cell.

Lattice parameters (Å, degrees): 6.854 3.950 6.957 90.00 109.14 90.00
Space group P2/m (No. 10)
Unique sites:
Ca: 0.000 0.000 0.000 (multiplicity 1)
Tb: 0.500 0.000 0.500 (multiplicity 1)
Tb: 0.500 0.500 0.000 (multiplicity 1)
Th: 0.000 0.500 0.500 (multiplicity 1)
S: 0.254 0.500 0.248 (multiplicity 2)
S: 0.258 0.000 0.758 (multiplicity 2)



Record 5
First-principles (PBE) data for an optimized crystal structure of K2TlSbBr8, as listed in Alexandria.

Results
The calculation puts the formation energy without anion corrections at -86 kJ/mol of atoms. The calculation puts the total moment at 0.0 μB per cell.

Lattice parameters (Å, degrees): 6.458 7.863 9.675 85.93 78.30 77.10
Space group P-1 (No. 2)
Unique sites:
K: 0.132 0.492 0.230 (multiplicity 2)
Tl: 0.000 0.000 0.000 (multiplicity 1)
Sb: 0.000 0.000 0.500 (multiplicity 1)
Br: 0.204 0.793 0.687 (multiplicity 2)
Br: 0.215 0.246 0.520 (multiplicity 2)
Br: 0.287 0.303 0.928 (multiplicity 2)
Br: 0.308 0.863 0.290 (multiplicity 2)



Record 6
First-principles (PBE) data for an optimized crystal structure of Tm3Hg5S12, as listed in Alexandria.

Results
The value obtained for the density of states at the Fermi level is 8.711 states/eV/f.u. The calculation puts the formation energy without anion corrections at -54 kJ/mol of atoms. The calculation puts the total moment at 0.0 μB per cell.

Lattice parameters (Å, degrees): 15.630 15.630 15.630 90.00 90.00 90.00
Space group Ia-3d (No. 230)
Unique sites:
Tm: 0.000 0.250 0.125 (multiplicity 24)
Hg: 0.000 0.000 0.000 (multiplicity 16)
Hg: 0.000 0.250 0.375 (multiplicity 24)
S: 0.014 0.072 0.657 (multiplicity 96)



Record 7
First-principles (PBE) data for an optimized crystal structure of Ca2CuTcP, as listed in Alexandria.

Results
The value obtained for the formation energy from the elements is 541 meV per atom. The value obtained for the density of states at the Fermi level is 3.208 states/eV/f.u. The calculation puts the total moment at 2.8 μB per cell.

Lattice parameters (Å, degrees): 5.215 5.215 4.642 90.00 90.00 90.00
Space group P4/mmm (No. 123)
Unique sites:
Ca: 0.000 0.500 0.000 (multiplicity 2)
Cu: 0.000 0.000 0.000 (multiplicity 1)
Tc: 0.000 0.000 0.500 (multiplicity 1)
P: 0.500 0.500 0.500 (multiplicity 1)



Record 8
First-principles (PBE) data for an optimized crystal structure of CrBi2SbN, as listed in Alexandria.

Results
The value obtained for the density of states at the Fermi level is 9.317 states/eV/f.u. The calculation puts the formation energy without anion corrections at 220 kJ/mol of atoms. The calculation puts the total moment at 0.2 μB per cell.

Lattice parameters (Å, degrees): 5.831 5.831 4.852 90.00 90.00 90.00
Space group P4/mmm (No. 123)
Unique sites:
Cr: 0.000 0.000 0.000 (multiplicity 1)
Bi: 0.000 0.500 0.500 (multiplicity 2)
Sb: 0.000 0.000 0.500 (multiplicity 1)
N: 0.500 0.500 0.000 (multiplicity 1)



Record 9
First-principles (PBE) data for an optimized crystal structure of NbH2S, as listed in Alexandria.

Results
The value obtained for the offset from the most stable computed form is 915 meV/atom. The value obtained for the density of states at the Fermi level is 2.781 states/eV/f.u. The calculation puts the total moment at 0.0 μB per cell.

Lattice parameters (Å, degrees): 5.353 5.353 5.353 90.00 90.00 90.00
Space group Fm-3m (No. 225)
Unique sites:
Nb: 0.000 0.000 0.000 (multiplicity 4)
H: 0.250 0.250 0.250 (multiplicity 8)
S: 0.000 0.000 0.500 (multiplicity 4)



Record 10
First-principles (PBE) data for an optimized crystal structure of P2IBrCl, as listed in Alexandria.

Results
The value obtained for the offset from the most stable computed form is 0 meV/atom. The value obtained for the density of states at the Fermi level is 3.625 states/eV/f.u. The calculation puts the formation energy without anion corrections at 107 kJ/mol of atoms. The calculation puts the total moment at 0.0 μB per cell.

Lattice parameters (Å, degrees): 5.111 5.111 5.034 90.00 90.00 90.00
Space group P4/mmm (No. 123)
Unique sites:
P: 0.000 0.500 0.000 (multiplicity 2)
I: 0.000 0.000 0.500 (multiplicity 1)
Br: 0.500 0.500 0.000 (multiplicity 1)
Cl: 0.500 0.500 0.500 (multiplicity 1)



Record 11
First-principles (PBE) data for an optimized crystal structure of KSbMo2, as listed in Alexandria.

Results
The value obtained for the density of states at the Fermi level is 4.124 states/eV/f.u. The calculation puts the formation energy without anion corrections at 87 kJ/mol of atoms. The calculation puts the total moment at 0.0 μB per cell.

Lattice parameters (Å, degrees): 2.891 5.241 6.570 90.00 90.83 90.00
Space group P2/m (No. 10)
Unique sites:
K: 0.000 0.000 0.000 (multiplicity 1)
Sb: 0.500 0.000 0.500 (multiplicity 1)
Mo: 0.367 0.500 0.334 (multiplicity 2)



Record 12
First-principles (PBE) data for an optimized crystal structure of Eu2Mg, as listed in Alexandria.

Results
The value obtained for the formation energy from the elements is -5 meV per atom. The value obtained for the density of states at the Fermi level is 17.707 states/eV/f.u. The calculation puts the total moment at 0.2 μB per cell.

Lattice parameters (Å, degrees): 13.976 3.892 8.298 90.00 106.41 90.00
Space group C2/m (No. 12)
Unique sites:
Eu: 0.022 0.000 0.236 (multiplicity 4)
Eu: 0.184 0.500 0.631 (multiplicity 4)
Mg: 0.169 0.500 0.044 (multiplicity 4)